Compound: MgNbSn
Source: OQMD
Functional: PBE
Structure: relaxed

Results
Total moment: 0.5037 μB per atom
Calculated volume: 24.7 Å³/atom
Symmetry: No. 216
E: -4.692 eV per atom

Unit cell a=4.714 b=4.714 c=4.714 alpha=60.00 beta=60.00 gamma=60.00
Element x y z (fractional)
Mg1 0.250 0.250 0.250
Nb1 0.000 0.000 0.000
Sn1 0.750 0.750 0.750